DFT (PBE+U) results for a relaxed Na3VCl2F6 crystal.

Calculated values
Symmetry   C2/m
Calculated total energy   -4.4879 eV per atom

abc: 4.6259 6.8729 7.6587
angles: 116.66 90.51 90.00
With the nearest neighbours (Å) after each atom.
Atoms (fractional coordinates):
V: 0.5000 0.0000 0.0000  6 F 1.81-1.83
Cl: 0.0945 0.6909 0.3819  3 Na 2.65-2.66
Cl: 0.9055 0.3090 0.6181  3 Na 2.65-2.66
F: 0.2568 0.1489 0.9168  1 V 1.81
F: 0.2568 0.7678 0.9168  1 V 1.81
F: 0.7432 0.2322 0.0832  1 V 1.81
F: 0.6579 0.8779 0.7558  1 V 1.83
F: 0.3421 0.1221 0.2442  1 V 1.83
F: 0.7432 0.8511 0.0832  1 V 1.81
Na: 0.5000 0.5000 0.5000  2 F 2.55, 2 Cl 2.66
Na: 0.0000 0.5000 0.0000  4 F 2.50, 2 Cl 2.65
Na: 0.5000 0.0000 0.5000  2 F 2.55, 2 Cl 2.66